1.
First-principles (PBE) data for crystalline Nd6Pd23 at its relaxed geometry, as listed in Alexandria via LeMat-Bulk.

Geometry as POSCAR:
```
Nd6Pd23
1.0
-3.228 4.949 7.056
4.921 0.728 7.743
3.964 8.010 2.197
Pd Nd
23 6
Direct
0.861 0.380 0.380
0.000 0.500 0.000
0.500 0.500 0.000
0.170 0.491 0.170
0.620 0.620 0.620
0.380 0.861 0.380
0.500 0.500 0.500
0.491 0.170 0.170
0.830 0.830 0.509
0.620 0.620 0.139
0.139 0.620 0.620
0.000 0.000 0.500
0.170 0.170 0.170
0.170 0.170 0.491
0.830 0.830 0.830
0.380 0.380 0.380
0.380 0.380 0.861
0.509 0.830 0.830
0.500 0.000 0.000
0.830 0.509 0.830
0.000 0.500 0.500
0.500 0.000 0.500
0.620 0.139 0.620
0.776 0.224 0.224
0.776 0.224 0.776
0.776 0.776 0.224
0.224 0.776 0.776
0.224 0.224 0.776
0.224 0.776 0.224
```

The calculation puts the density of states at the Fermi level at 23.41 states/eV per cell. The calculation puts the energy of formation from the pure elements at -0.580 eV per atom. Its space-group type is No. 225. The calculation puts the density at 10.0 g cm⁻³.

***

2.
First-principles (PBE) data for crystalline Ge2PbI6 at its relaxed geometry, as listed in Alexandria via LeMat-Bulk.

Geometry as POSCAR:
```
Ge2PbI6
1.0
8.090 0.000 0.000
4.045 7.006 0.000
4.045 2.335 7.660
Ge I Pb
2 6 1
Direct
0.700 0.700 0.899
0.584 0.584 0.247
0.465 0.050 0.740
0.745 0.465 0.740
0.595 0.950 0.217
0.950 0.239 0.217
0.239 0.595 0.217
0.050 0.745 0.740
0.337 0.337 0.988
```

Its space-group type is No. 146. The calculation puts the density at 4.3 g cm⁻³. The distance to the lowest polymorph of the same formula comes out at 0.072 eV/atom.